# GGA-PBE La2Nd2Sn, optimized geometry
# ΔE to the lowest computed polymorph: 121 meV per atom
# theoretical density: 6191 kg/m3
# calculated total energy: -4.73 eV per atom
data_La2Nd2Sn
_space_group_name_H-M_alt 'P -6 m 2'
_space_group_IT_number 187
_space_group_name_Hall 'P -6 2'
_cell_length_a 5.6165
_cell_length_b 5.6165
_cell_length_c 6.7259
_cell_angle_alpha 90.00
_cell_angle_beta 90.00
_cell_angle_gamma 120.00
loop_
_atom_site_label
_atom_site_fract_x
_atom_site_fract_y
_atom_site_fract_z
La1 0.0000 0.0000 0.0000
La2 0.3333 0.6667 0.5000
Nd1 0.6667 0.3333 0.2671
Sn1 0.0000 0.0000 0.5000